# 1
Entry from the Open Quantum Materials Database: a relaxed Hf2CoBi2Ir crystal (PBE).

a b c (Å): 7.765 4.472 14.844
angles (deg): 90.00 99.85 90.00
Fractional coordinates of all 24 atoms:
Hf 0.813 0.500 0.935
Hf 0.311 0.000 0.936
Hf 0.559 0.000 0.685
Hf 0.816 0.000 0.443
Hf 0.064 0.000 0.187
Hf 0.312 0.500 0.443
Hf 0.062 0.500 0.684
Hf 0.561 0.500 0.187
Ir 0.749 0.500 0.748
Ir 0.751 0.000 0.252
Ir 0.250 0.500 0.251
Ir 0.499 0.500 0.998
Bi 0.187 0.000 0.563
Bi 0.423 0.500 0.806
Bi 0.950 0.000 0.814
Bi 0.441 0.000 0.321
Bi 0.685 0.500 0.557
Bi 0.175 0.500 0.058
Bi 0.699 0.000 0.060
Bi 0.941 0.500 0.321
Co 0.001 0.000 0.998
Co 0.248 0.000 0.747
Co 0.002 0.500 0.503
Co 0.499 0.000 0.503

- SG: Pm

# 2
Entry from the Open Quantum Materials Database: a relaxed ErZnPt crystal (PBE).

a b c (Å): 4.549 4.549 4.549
angles (deg): 60.00 60.00 60.00
Fractional coordinates of all 3 atoms:
Pt 0.000 0.000 0.000
Er 0.250 0.250 0.250
Zn 0.750 0.750 0.750

- SG: F-43m
- Formation energy: -2.48 eV/f.u.

# 3
Entry from the Open Quantum Materials Database: a relaxed TmAuSO crystal (PBE).

a b c (Å): 9.277 5.320 5.519
angles (deg): 90.00 90.00 90.00
Fractional coordinates of all 16 atoms:
O 0.003 0.750 0.500
O 0.997 0.250 0.500
O 0.003 0.750 0.000
O 0.997 0.250 0.000
S 0.721 0.475 0.250
S 0.721 0.025 0.750
S 0.279 0.525 0.750
S 0.279 0.975 0.250
Au 0.559 0.750 0.500
Au 0.441 0.250 0.000
Au 0.441 0.250 0.500
Au 0.559 0.750 0.000
Tm 0.118 0.494 0.250
Tm 0.882 0.994 0.250
Tm 0.118 0.006 0.750
Tm 0.882 0.506 0.750

- SG: Pbcm
- Excess energy over the best structure of this formula in the dataset: 162.0 meV/atom

# 4
Entry from the Open Quantum Materials Database: a relaxed BeCdRe crystal (PBE).

a b c (Å): 4.275 4.275 4.275
angles (deg): 60.00 60.00 60.00
Fractional coordinates of all 3 atoms:
Be 0.250 0.250 0.250
Cd 0.750 0.750 0.750
Re 0.000 0.000 0.000

- SG: F-43m
- Excess energy over the best structure of this formula in the dataset: 0.0 meV/atom

Listing raw total energy for the structures above in their given order: -187.14 -14.37 -96.56 -12.81 eV for the cell shown.